[1]
A relaxed structure of CaZnCdGa2, computed with PBE-GGA.

abc: 4.292 4.292 6.498
angles: 109.29 109.29 90.00
Positions (direct):
1 Ga 0.608 0.608 0.216
2 Ga 0.392 0.392 0.784
3 Cd 0.750 0.250 0.500
4 Ca 0.000 0.000 0.000
5 Zn 0.250 0.750 0.500

Results
E_form ... -299 meV/atom

[2]
A relaxed structure of SrV2NiCl, computed with PBE-GGA.

abc: 4.457 6.556 4.457
angles: 90.00 90.00 90.00
Positions (direct):
1 V 0.500 0.000 0.000
2 V 0.000 0.000 0.500
3 Cl 0.000 0.500 0.000
4 Ni 0.000 0.000 0.000
5 Sr 0.500 0.500 0.500

Results
Calculated total energy ... -5.05 eV per atom